Density functional theory data (PBE-GGA) for an optimized crystal structure of GdCuTe3Pb.

Values from the calculation:
For the spin magnetization, the calculation gives 0.00 μB/f.u. Its space group is Pnma (62). Its energy above the most stable polymorph in this dataset is 14 meV per atom.

Unit cell a=14.7138 b=4.3112 c=11.6875 alpha=90.00 beta=90.00 gamma=90.00
Atoms (fractional coordinates):
Gd: 0.0108 0.2500 0.1738
Gd: 0.4892 0.7500 0.6738
Gd: 0.5108 0.2500 0.3262
Gd: 0.9892 0.7500 0.8262
Cu: 0.0077 0.7500 0.4169
Cu: 0.4923 0.2500 0.9169
Cu: 0.5077 0.7500 0.0831
Cu: 0.9923 0.2500 0.5831
Te: 0.1056 0.7500 0.6118
Te: 0.1133 0.2500 0.9390
Te: 0.1442 0.7500 0.2596
Te: 0.3558 0.2500 0.7597
Te: 0.3867 0.7500 0.4390
Te: 0.3944 0.2500 0.1118
Te: 0.6056 0.7500 0.8882
Te: 0.6133 0.2500 0.5610
Te: 0.6442 0.7500 0.2404
Te: 0.8558 0.2500 0.7403
Te: 0.8867 0.7500 0.0610
Te: 0.8944 0.2500 0.3882
Pb: 0.2160 0.2500 0.4534
Pb: 0.2840 0.7500 0.9534
Pb: 0.7160 0.2500 0.0466
Pb: 0.7840 0.7500 0.5466


Density functional theory data (PBE-GGA) for an optimized crystal structure of GdCuTe3Pb.

Values from the calculation:
For the spin magnetization, the calculation gives 0.00 μB/f.u. Its space group is Pnma (62). Its energy above the most stable polymorph in this dataset is 31 meV per atom.

Unit cell a=12.3917 b=4.4438 c=12.4966 alpha=90.00 beta=90.00 gamma=90.00
Atoms (fractional coordinates):
Gd: 0.0313 0.2500 0.1897
Gd: 0.4687 0.7500 0.6897
Gd: 0.5313 0.2500 0.3103
Gd: 0.9687 0.7500 0.8103
Cu: 0.2335 0.7500 0.2950
Cu: 0.2665 0.2500 0.7950
Cu: 0.7335 0.7500 0.2050
Cu: 0.7665 0.2500 0.7050
Te: 0.0357 0.7500 0.3670
Te: 0.1008 0.2500 0.9375
Te: 0.2144 0.7500 0.6899
Te: 0.2856 0.2500 0.1899
Te: 0.3992 0.7500 0.4375
Te: 0.4643 0.2500 0.8670
Te: 0.5357 0.7500 0.1330
Te: 0.6008 0.2500 0.5625
Te: 0.7144 0.7500 0.8101
Te: 0.7856 0.2500 0.3101
Te: 0.8992 0.7500 0.0625
Te: 0.9643 0.2500 0.6330
Pb: 0.1996 0.2500 0.4795
Pb: 0.3004 0.7500 0.9795
Pb: 0.6996 0.2500 0.0205
Pb: 0.8004 0.7500 0.5205


Density functional theory data (PBE-GGA) for an optimized crystal structure of GdTmCu2Pb2.

Values from the calculation:
For the spin magnetization, the calculation gives 0.00 μB/f.u. Its space group is P3m1 (156). As for the total energy: -26.3 eV per cell.

Unit cell a=4.6135 b=4.6135 c=7.3587 alpha=90.00 beta=90.00 gamma=120.00
Atoms (fractional coordinates):
Gd: 0.0000 0.0000 0.0000
Tm: 0.0000 0.0000 0.4992
Cu: 0.3333 0.6667 0.3306
Cu: 0.6667 0.3333 0.8186
Pb: 0.3333 0.6667 0.7266
Pb: 0.6667 0.3333 0.2334


Density functional theory data (PBE-GGA) for an optimized crystal structure of GdYCu2Pb.

Values from the calculation:
For the spin magnetization, the calculation gives 0.03 μB/f.u. Its space group is Amm2 (38). As for the total energy: -24.2 eV per cell.

Unit cell a=3.6734 b=7.3407 c=7.3407 alpha=33.64 beta=90.00 gamma=90.00
Atoms (fractional coordinates):
Gd: 0.0000 0.0000 0.0000
Y: 0.0000 0.7322 0.7322
Cu: 0.5000 0.1623 0.1623
Cu: 0.5000 0.5704 0.5704
Pb: 0.5000 0.3652 0.3652


Density functional theory data (PBE-GGA) for an optimized crystal structure of GdY2Cu4Pb4.

Values from the calculation:
For the spin magnetization, the calculation gives 0.00 μB/f.u. Its space group is Immm (71). As for the total energy: -50.4 eV per cell.

Unit cell a=8.6292 b=8.6292 c=8.6292 alpha=149.28 beta=131.35 gamma=58.64
Atoms (fractional coordinates):
Gd: 0.0000 0.0000 0.0000
Y: 0.3685 0.8685 0.5000
Y: 0.6315 0.1315 0.5000
Cu: 0.0165 0.3292 0.6872
Cu: 0.3580 0.6708 0.6872
Cu: 0.6420 0.3292 0.3128
Cu: 0.9835 0.6708 0.3128
Pb: 0.2165 0.2165 0.0000
Pb: 0.2925 0.5000 0.7925
Pb: 0.7075 0.5000 0.2075
Pb: 0.7835 0.7835 0.0000


Density functional theory data (PBE-GGA) for an optimized crystal structure of GdCuSi2Pd.

Values from the calculation:
For the spin magnetization, the calculation gives 0.00 μB/f.u. Its space group is I-4m2 (119). As for the total energy: -28.3 eV per cell.

Unit cell a=5.7903 b=5.7903 c=5.7903 alpha=138.80 beta=138.80 gamma=59.69
Atoms (fractional coordinates):
Gd: 0.0000 0.0000 0.0000
Cu: 0.7500 0.2500 0.5000
Si: 0.3832 0.3832 0.0000
Si: 0.6168 0.6168 0.0000
Pd: 0.2500 0.7500 0.5000


Density functional theory data (PBE-GGA) for an optimized crystal structure of Gd2TlCuPd.

Values from the calculation:
For the spin magnetization, the calculation gives 0.01 μB/f.u. Its space group is Amm2 (38). As for the total energy: -23.3 eV per cell.

Unit cell a=3.6767 b=7.6115 c=7.6115 alpha=32.26 beta=90.00 gamma=90.00
Atoms (fractional coordinates):
Gd: 0.0000 0.0000 0.0000
Gd: 0.0000 0.2677 0.2677
Tl: 0.5000 0.6348 0.6348
Cu: 0.5000 0.8298 0.8298
Pd: 0.5000 0.4328 0.4328


Density functional theory data (PBE-GGA) for an optimized crystal structure of PmGdCu.

Values from the calculation:
For the spin magnetization, the calculation gives 0.30 μB/f.u. The formation energy from the elements is 98 meV/atom. Its space group is F-43m (216). Its energy above the most stable polymorph in this dataset is 0 meV per atom.

Unit cell a=4.9201 b=4.9201 c=4.9201 alpha=60.00 beta=60.00 gamma=60.00
Atoms (fractional coordinates):
Pm: 0.0000 0.0000 0.0000
Gd: 0.5000 0.5000 0.5000
Cu: 0.7500 0.7500 0.7500


> Which formula does entry 6 have?

GdCuSi2Pd


> Number 8 is which compound?

PmGdCu